[1]
# Dy3GePt4 PBE relaxed
data_Dy3GePt4
_cell_length_a 5.643
_cell_length_b 4.244
_cell_length_c 6.967
_cell_angle_alpha 90.00
_cell_angle_beta 91.24
_cell_angle_gamma 90.00
_symmetry_space_group_name_H-M 'P 1'
_symmetry_Int_Tables_number 1
loop_
_symmetry_equiv_pos_as_xyz
'x,y,z'
loop_
_atom_site_label
_atom_site_fract_x
_atom_site_fract_y
_atom_site_fract_z
Dy1 0.000 0.000 0.000
Dy2 0.239 0.000 0.499
Dy3 0.729 0.500 0.362
Ge1 0.499 0.500 0.838
Pt1 0.053 0.500 0.727
Pt2 0.213 0.500 0.219
Pt3 0.515 0.000 0.088
Pt4 0.709 0.000 0.658
# **Raw total energy**: -6.376 eV/atom
# **Spin magnetization**: 0.01 Bohr magnetons per cell

---

[2]
# TmHfB4 PBE relaxed
data_TmHfB4
_cell_length_a 3.188
_cell_length_b 3.188
_cell_length_c 7.273
_cell_angle_alpha 90.00
_cell_angle_beta 90.00
_cell_angle_gamma 120.00
_symmetry_space_group_name_H-M 'P 1'
_symmetry_Int_Tables_number 1
loop_
_symmetry_equiv_pos_as_xyz
'x,y,z'
loop_
_atom_site_label
_atom_site_fract_x
_atom_site_fract_y
_atom_site_fract_z
Tm1 0.000 0.000 0.000
Hf1 0.000 0.000 0.500
B1 0.333 0.667 0.263
B2 0.333 0.667 0.737
B3 0.667 0.333 0.263
B4 0.667 0.333 0.737
# **Raw total energy**: -7.711 eV/atom
# **Spin magnetization**: 0.00 Bohr magnetons per cell

---

[3]
# Dy2Er3Lu2Te2Pd2 PBE relaxed
data_Dy2Er3Lu2Te2Pd2
_cell_length_a 9.337
_cell_length_b 9.337
_cell_length_c 9.337
_cell_angle_alpha 155.75
_cell_angle_beta 67.36
_cell_angle_gamma 118.24
_symmetry_space_group_name_H-M 'P 1'
_symmetry_Int_Tables_number 1
loop_
_symmetry_equiv_pos_as_xyz
'x,y,z'
loop_
_atom_site_label
_atom_site_fract_x
_atom_site_fract_y
_atom_site_fract_z
Dy1 0.130 0.000 0.130
Dy2 0.870 0.000 0.870
Er1 0.417 0.417 0.000
Er2 0.507 0.151 0.356
Er3 0.795 0.151 0.644
Lu1 0.109 0.792 0.317
Lu2 0.475 0.792 0.683
Te1 0.155 0.655 0.500
Te2 0.753 0.753 0.000
Pd1 0.250 0.485 0.765
Pd2 0.719 0.485 0.235
# **Raw total energy**: -5.270 eV/atom
# **Energy above the lowest structure with this stoichiometry**: 0.0016 eV per atom
# **Spin magnetization**: 0.01 Bohr magnetons per cell

---

[4]
# ZnGeW2 PBE relaxed
data_ZnGeW2
_cell_length_a 4.445
_cell_length_b 4.445
_cell_length_c 4.445
_cell_angle_alpha 60.00
_cell_angle_beta 60.00
_cell_angle_gamma 60.00
_symmetry_space_group_name_H-M 'P 1'
_symmetry_Int_Tables_number 1
loop_
_symmetry_equiv_pos_as_xyz
'x,y,z'
loop_
_atom_site_label
_atom_site_fract_x
_atom_site_fract_y
_atom_site_fract_z
Zn1 0.000 0.000 0.000
Ge1 0.750 0.750 0.750
W1 0.250 0.250 0.250
W2 0.500 0.500 0.500
# **Raw total energy**: -7.481 eV/atom
# **Spin magnetization**: 0.00 Bohr magnetons per cell

---

[5]
# TbY2Sn2Pb5 PBE relaxed
data_TbY2Sn2Pb5
_cell_length_a 13.640
_cell_length_b 13.640
_cell_length_c 4.611
_cell_angle_alpha 90.00
_cell_angle_beta 90.00
_cell_angle_gamma 160.99
_symmetry_space_group_name_H-M 'P 1'
_symmetry_Int_Tables_number 1
loop_
_symmetry_equiv_pos_as_xyz
'x,y,z'
loop_
_atom_site_label
_atom_site_fract_x
_atom_site_fract_y
_atom_site_fract_z
Tb1 0.000 0.000 0.000
Y1 0.311 0.689 0.500
Y2 0.689 0.311 0.500
Sn1 0.096 0.904 0.500
Sn2 0.904 0.096 0.500
Pb1 0.209 0.791 0.000
Pb2 0.403 0.597 0.000
Pb3 0.500 0.500 0.500
Pb4 0.597 0.403 0.000
Pb5 0.791 0.209 0.000
# **Raw total energy**: -4.806 eV/atom
# **Energy above the lowest structure with this stoichiometry**: 0.0163 eV per atom
# **Spin magnetization**: 0.01 Bohr magnetons per cell

---

[6]
# Hf3B4S PBE relaxed
data_Hf3B4S
_cell_length_a 3.109
_cell_length_b 3.297
_cell_length_c 9.485
_cell_angle_alpha 90.00
_cell_angle_beta 90.00
_cell_angle_gamma 90.00
_symmetry_space_group_name_H-M 'P 1'
_symmetry_Int_Tables_number 1
loop_
_symmetry_equiv_pos_as_xyz
'x,y,z'
loop_
_atom_site_label
_atom_site_fract_x
_atom_site_fract_y
_atom_site_fract_z
Hf1 0.000 0.000 0.000
Hf2 0.500 0.000 0.304
Hf3 0.500 0.000 0.696
B1 0.000 0.500 0.189
B2 0.000 0.500 0.811
B3 0.500 0.500 0.106
B4 0.500 0.500 0.894
S1 0.000 0.500 0.500
# **Raw total energy**: -8.424 eV/atom
# **Spin magnetization**: 0.00 Bohr magnetons per cell

---

[7]
# KThHg PBE relaxed
data_KThHg
_cell_length_a 5.359
_cell_length_b 5.359
_cell_length_c 5.359
_cell_angle_alpha 60.00
_cell_angle_beta 60.00
_cell_angle_gamma 60.00
_symmetry_space_group_name_H-M 'P 1'
_symmetry_Int_Tables_number 1
loop_
_symmetry_equiv_pos_as_xyz
'x,y,z'
loop_
_atom_site_label
_atom_site_fract_x
_atom_site_fract_y
_atom_site_fract_z
K1 0.000 0.000 0.000
Th1 0.500 0.500 0.500
Hg1 0.250 0.250 0.250
# **Raw total energy**: -2.386 eV/atom
# **Energy above the lowest structure with this stoichiometry**: 0.0000 eV per atom
# **Spin magnetization**: 0.01 Bohr magnetons per cell

---

[8]
# GdErTe6 PBE relaxed
data_GdErTe6
_cell_length_a 4.334
_cell_length_b 13.320
_cell_length_c 13.320
_cell_angle_alpha 18.72
_cell_angle_beta 90.00
_cell_angle_gamma 90.00
_symmetry_space_group_name_H-M 'P 1'
_symmetry_Int_Tables_number 1
loop_
_symmetry_equiv_pos_as_xyz
'x,y,z'
loop_
_atom_site_label
_atom_site_fract_x
_atom_site_fract_y
_atom_site_fract_z
Gd1 0.000 0.000 0.000
Er1 0.500 0.657 0.657
Te1 0.000 0.123 0.123
Te2 0.000 0.404 0.404
Te3 0.000 0.752 0.752
Te4 0.500 0.252 0.252
Te5 0.500 0.537 0.537
Te6 0.500 0.904 0.904
# **Raw total energy**: -4.424 eV/atom
# **Spin magnetization**: 0.02 Bohr magnetons per cell